An optimized crystal structure of Li2CeNd2Ga2. Source: Alexandria via LeMat-Bulk, functional PBE. Values from VASP.

Cell and atoms, written as Quantum ESPRESSO input:
```
&SYSTEM
  ibrav = 0, nat = 7, ntyp = 4
/
ATOMIC_SPECIES
Nd 144.24 Nd.upf
Ga 69.72 Ga.upf
Li 6.94 Li.upf
Ce 140.12 Ce.upf
CELL_PARAMETERS angstrom
4.7454 0.0000 0.0000
2.3727 4.1097 0.0000
2.3727 1.3699 8.5464
ATOMIC_POSITIONS crystal
Nd 0.1253 0.1253 0.6242
Nd 0.8747 0.8747 0.3758
Ga 0.7343 0.7343 0.7972
Ga 0.2657 0.2657 0.2028
Li 0.3913 0.3913 0.8260
Li 0.6087 0.6087 0.1740
Ce 0.0000 0.0000 0.0000
```

Calculated values
The calculation puts the formation energy at -25.0 kJ per mole of atoms. Its energy is -27.163 eV for the cell shown.